(1)
9
Lattice="5.116 0.000 1.733 2.558 8.088 0.866 -0.036 0.000 8.527" Properties=species:S:1:pos:R:3 comment="Ac4Pr4Er (PBE, relaxed)" sg="No. 139" rho_g_cm3=7.70 e_form_ev_per_atom=0.037 final_energy_ev_per_cell=-39.78 pbc="T T T"
Pr 3.395 5.367 6.816
Pr 1.685 5.367 3.444
Pr 5.953 2.721 7.682
Pr 4.243 2.721 4.310
Ac 1.699 0.000 3.404
Ac 5.940 8.088 7.722
Ac 5.116 5.409 1.733
Ac 2.522 2.679 9.393
Er 0.000 0.000 0.000


(2)
10
Lattice="3.620 0.000 0.000 0.000 14.693 -4.980 0.000 -11.073 10.866" Properties=species:S:1:pos:R:3 comment="Ac2Pr7Er (PBE, relaxed)" relative_energy_kj_per_mol_fu=0 sg="No. 65" rho_g_cm3=7.06 e_form_ev_per_atom=0.146 final_energy_ev_per_cell=-44.78 pbc="T T T"
Pr 1.810 1.810 2.943
Pr 1.810 -1.585 2.933
Pr 1.810 0.287 5.978
Pr 0.000 9.952 -2.064
Pr 1.810 3.333 -0.092
Pr 0.000 -6.332 7.950
Pr 1.810 5.205 2.953
Ac 1.810 7.099 -0.309
Ac 1.810 -3.479 6.196
Er 0.000 0.000 0.000


(3)
6
Lattice="-3.505 2.515 -2.201 -2.391 -4.116 -0.896 -5.251 0.985 9.483" Properties=species:S:1:pos:R:3 comment="AcPr4Er (PBE, relaxed)" relative_energy_kj_per_mol_fu=0 sg="No. 123" rho_g_cm3=6.23 e_form_ev_per_atom=0.464 final_energy_ev_per_cell=-25.01 pbc="T T T"
Pr -2.946 1.471 1.071
Pr -5.894 0.670 -0.477
Pr -5.817 2.009 6.256
Pr -8.765 1.209 4.707
Er -2.951 -0.811 -1.526
Ac -6.134 2.998 2.563


(4)
12
Lattice="-6.948 -0.731 -0.176 3.499 -3.162 5.157 -1.194 9.716 6.767" Properties=species:S:1:pos:R:3 comment="AcPr4Er (PBE, relaxed)" relative_energy_kj_per_mol_fu=16 sg="No. 63" rho_g_cm3=6.20 e_form_ev_per_atom=0.492 final_energy_ev_per_cell=-49.68 pbc="T T T"
Pr -2.091 8.701 8.061
Pr 1.429 0.828 4.295
Pr -3.787 2.042 1.632
Pr -3.148 1.975 7.067
Pr -6.072 4.995 7.453
Pr -2.552 -2.878 3.687
Pr -0.856 3.781 10.116
Pr -1.495 3.848 4.681
Er -2.612 5.350 7.554
Er -2.031 0.473 4.194
Ac -0.305 2.421 1.701
Ac -4.338 3.402 10.047


(5)
14
Lattice="-1.892 -5.316 1.711 9.153 -2.433 2.563 -5.966 4.229 6.541" Properties=species:S:1:pos:R:3 comment="AcPr3Er3 (PBE, relaxed)" relative_energy_kj_per_mol_fu=0 sg="No. 176" rho_g_cm3=7.78 e_form_ev_per_atom=0.043 final_energy_ev_per_cell=-63.67 pbc="T T T"
Pr 1.136 -3.260 6.368
Pr -3.348 1.090 4.763
Pr 0.159 -0.260 4.447
Pr 4.643 -4.610 6.052
Pr -1.009 1.209 7.719
Pr 2.304 -4.729 3.096
Er 2.377 -0.043 7.573
Er 7.191 -2.878 4.091
Er 1.353 -1.703 1.285
Er -5.896 -0.642 6.724
Er -1.082 -3.477 3.242
Er -0.058 -1.817 9.530
Ac -2.345 -1.979 6.498
Ac 3.640 -1.541 4.317


(6)
13
Lattice="6.158 0.303 1.344 1.971 8.727 1.540 0.804 -0.717 9.014" Properties=species:S:1:pos:R:3 comment="Ac2Pr8Er3 (PBE, relaxed)" sg="No. 12" rho_g_cm3=7.28 e_form_ev_per_atom=0.181 final_energy_ev_per_cell=-57.79 pbc="T T T"
Pr 5.298 5.318 2.600
Pr 4.224 7.764 5.523
Pr 6.073 1.395 2.711
Pr 3.634 2.994 9.298
Pr 5.828 3.598 5.456
Pr 4.708 0.548 6.375
Pr 2.859 6.918 9.188
Pr 3.105 4.715 6.442
Ac 2.910 2.534 3.656
Ac 6.022 5.779 8.243
Er 1.667 6.270 3.485
Er 3.079 0.151 0.672
Er 1.107 1.740 7.070


(7)
8
Lattice="3.387 0.000 0.877 1.166 8.681 2.473 -0.532 -1.007 9.030" Properties=species:S:1:pos:R:3 comment="AcPr3Er4 (PBE, relaxed)" sg="No. 71" rho_g_cm3=7.91 e_form_ev_per_atom=0.162 final_energy_ev_per_cell=-35.40 pbc="T T T"
Pr 1.305 5.804 8.914
Pr 2.716 1.870 3.467
Pr 0.317 3.837 5.752
Ac 1.693 0.000 0.439
Er 2.806 5.182 3.118
Er 1.967 0.395 6.358
Er 1.214 2.492 9.263
Er 2.054 7.280 6.022


(8)
11
Lattice="-5.561 -1.754 -0.329 3.871 -9.970 -0.922 2.954 -8.368 6.040" Properties=species:S:1:pos:R:3 comment="Ac2Pr8Er (PBE, relaxed)" relative_energy_kj_per_mol_fu=29 sg="No. 12" rho_g_cm3=6.84 e_form_ev_per_atom=0.181 final_energy_ev_per_cell=-49.02 pbc="T T T"
Pr -1.152 -9.696 2.079
Pr 0.389 -13.063 1.287
Pr -0.043 -3.607 0.824
Pr 0.876 -7.030 3.503
Pr -0.047 -12.302 4.594
Pr 1.312 -7.791 0.195
Pr 1.308 -16.486 3.965
Pr 2.416 -10.397 2.711
Er 0.000 0.000 0.000
Ac 3.470 -13.641 3.596
Ac -2.205 -6.452 1.194


(9)
9
Lattice="-1.817 -2.589 -4.077 5.305 -5.950 -1.851 -4.681 -6.138 2.718" Properties=species:S:1:pos:R:3 comment="AcPr4Er4 (PBE, relaxed)" sg="No. 139" rho_g_cm3=7.79 e_form_ev_per_atom=0.036 final_energy_ev_per_cell=-41.16 pbc="T T T"
Er 1.910 -6.014 -0.298
Er -3.103 -8.663 -2.912
Er -0.206 -8.858 -0.814
Er -0.987 -5.818 -2.396
Pr 1.005 -11.727 -2.797
Pr -3.466 -9.023 0.744
Pr -2.198 -2.950 -0.413
Pr 2.273 -5.653 -3.954
Ac 0.000 0.000 0.000


(10)
11
Lattice="-1.744 4.841 -3.533 -7.826 -1.364 -1.939 -1.968 5.974 5.225" Properties=species:S:1:pos:R:3 comment="Ac2Pr2Er7 (PBE, relaxed)" sg="No. 12" rho_g_cm3=8.26 e_form_ev_per_atom=0.182 final_energy_ev_per_cell=-47.71 pbc="T T T"
Er -6.449 9.116 1.084
Er 0.000 0.000 0.000
Er -5.363 5.778 -1.534
Er -6.174 3.673 1.286
Er -1.990 4.216 2.457
Er -9.547 5.236 -2.704
Er -5.088 0.335 -1.331
Ac -8.483 6.330 0.453
Ac -3.054 3.121 -0.700
Pr -7.369 2.721 -2.081
Pr -4.168 6.731 1.834


(11)
9
Lattice="-4.601 5.099 5.911 -2.955 -4.911 3.356 1.307 5.805 6.795" Properties=species:S:1:pos:R:3 comment="AcPr2Er6 (PBE, relaxed)" sg="No. 2" rho_g_cm3=8.25 e_form_ev_per_atom=0.081 final_energy_ev_per_cell=-40.31 pbc="T T T"
Pr -4.670 2.616 10.741
Pr -1.579 3.378 5.321
Er -1.009 0.481 3.397
Er -2.107 4.280 8.718
Er -4.142 1.713 7.344
Er -3.258 -1.315 5.433
Er -5.240 5.512 12.665
Er -2.991 7.308 10.629
Ac 0.000 0.000 0.000


(12)
16
Lattice="-6.497 2.658 -3.594 -4.170 -5.882 3.196 -2.281 6.449 8.894" Properties=species:S:1:pos:R:3 comment="Ac14PrEr (PBE, relaxed)" sg="No. 38" rho_g_cm3=8.30 e_form_ev_per_atom=0.026 final_energy_ev_per_cell=-66.45 pbc="T T T"
Ac -8.284 -1.348 -1.147
Ac -9.445 1.389 7.276
Ac -6.185 1.044 1.120
Ac -8.275 -1.917 2.717
Ac -9.436 1.873 3.300
Ac -4.090 3.007 7.476
Ac -7.347 4.817 1.700
Ac -6.182 0.542 5.099
Ac -6.184 0.056 9.087
Ac -7.350 4.338 5.661
Ac -4.094 3.487 3.499
Ac -5.012 -3.257 4.518
Ac -2.964 0.260 -0.948
Ac -2.921 -0.299 2.917
Pr -5.043 -2.677 0.648
Er -6.206 1.588 -2.743